# 1
Below is a relaxed ZrHg3Au crystal, with properties calculated at the PBE level.

- polymorph energy (0 for the lowest one) (eV/atom) = 0.0000
- DFT formation energy (meV per atom) = 661
- electronic total energy (eV/atom) = -1.89
- N(E_F) (states/eV/atom) = 0.8210
- V (Å³ per atom) = 27.761
- crystal system = cubic

CIF file:
```
data_ZrHg3Au
_cell_length_a 5.178
_cell_length_b 5.178
_cell_length_c 5.178
_cell_angle_alpha 90.00
_cell_angle_beta 90.00
_cell_angle_gamma 90.00
_symmetry_space_group_name_H-M 'P m -3 m'
_symmetry_Int_Tables_number 221
_symmetry_space_group_name_Hall '-P 4 2 3'
loop_
_atom_site_label
_atom_site_fract_x
_atom_site_fract_y
_atom_site_fract_z
_atom_site_occupancy
Zr1 0.000 0.000 0.000 1
Hg1 0.000 0.500 0.500 1
Au1 0.500 0.500 0.500 1
```

***

# 2
Below is a relaxed Zr11Hg9Au4 crystal, with properties calculated at the PBE level.

- DFT formation energy (meV per atom) = -246
- electronic total energy (eV/atom) = -4.82
- N(E_F) (states/eV/atom) = 0.9570
- V (Å³ per atom) = 21.299
- crystal system = orthorhombic

CIF file:
```
data_Zr11Hg9Au4
_cell_length_a 14.540
_cell_length_b 21.949
_cell_length_c 3.204
_cell_angle_alpha 90.00
_cell_angle_beta 90.00
_cell_angle_gamma 90.00
_symmetry_space_group_name_H-M 'C m m m'
_symmetry_Int_Tables_number 65
_symmetry_space_group_name_Hall '-C 2 2'
loop_
_atom_site_label
_atom_site_fract_x
_atom_site_fract_y
_atom_site_fract_z
_atom_site_occupancy
Zr1 0.000 0.000 0.000 1
Zr2 0.000 0.160 0.000 1
Zr3 0.000 0.365 0.000 1
Zr4 0.211 0.500 0.000 1
Zr5 0.229 0.178 0.000 1
Hg1 0.000 0.500 0.500 1
Hg2 0.104 0.262 0.500 1
Hg3 0.138 0.074 0.500 1
Au1 0.154 0.399 0.500 1
```

***

# 3
Below is a relaxed Zr2Hg2Au crystal, with properties calculated at the PBE level.

- polymorph energy (0 for the lowest one) (eV/atom) = 0.0799
- DFT formation energy (meV per atom) = -86
- electronic total energy (eV/atom) = -4.28
- N(E_F) (states/eV/atom) = 0.6936
- V (Å³ per atom) = 21.764
- crystal system = tetragonal

CIF file:
```
data_Zr2Hg2Au
_cell_length_a 7.294
_cell_length_b 7.294
_cell_length_c 4.090
_cell_angle_alpha 90.00
_cell_angle_beta 90.00
_cell_angle_gamma 90.00
_symmetry_space_group_name_H-M 'P 4/m b m'
_symmetry_Int_Tables_number 127
_symmetry_space_group_name_Hall '-P 4 2ab'
loop_
_atom_site_label
_atom_site_fract_x
_atom_site_fract_y
_atom_site_fract_z
_atom_site_occupancy
Zr1 0.166 0.334 0.000 1
Hg1 0.137 0.637 0.500 1
Au1 0.000 0.000 0.500 1
```

***

# 4
Below is a relaxed Zr4Hg3Au crystal, with properties calculated at the PBE level.

- DFT formation energy (meV per atom) = -246
- electronic total energy (eV/atom) = -5.04
- N(E_F) (states/eV/atom) = 1.1252
- V (Å³ per atom) = 21.107
- crystal system = orthorhombic

CIF file:
```
data_Zr4Hg3Au
_cell_length_a 6.257
_cell_length_b 6.275
_cell_length_c 17.202
_cell_angle_alpha 90.00
_cell_angle_beta 90.00
_cell_angle_gamma 90.00
_symmetry_space_group_name_H-M 'F m m m'
_symmetry_Int_Tables_number 69
_symmetry_space_group_name_Hall '-F 2 2'
loop_
_atom_site_label
_atom_site_fract_x
_atom_site_fract_y
_atom_site_fract_z
_atom_site_occupancy
Zr1 0.250 0.250 0.123 1
Hg1 0.000 0.000 0.000 1
Hg2 0.000 0.000 0.250 1
Au1 0.000 0.000 0.500 1
```

***

# 5
Below is a relaxed Zr4HgAu crystal, with properties calculated at the PBE level.

- polymorph energy (0 for the lowest one) (eV/atom) = 0.3019
- DFT formation energy (meV per atom) = 497
- electronic total energy (eV/atom) = -5.80
- N(E_F) (states/eV/atom) = 1.2836
- V (Å³ per atom) = 26.728
- crystal system = orthorhombic

CIF file:
```
data_Zr4HgAu
_cell_length_a 10.470
_cell_length_b 10.499
_cell_length_c 2.918
_cell_angle_alpha 90.00
_cell_angle_beta 90.00
_cell_angle_gamma 90.00
_symmetry_space_group_name_H-M 'C m m m'
_symmetry_Int_Tables_number 65
_symmetry_space_group_name_Hall '-C 2 2'
loop_
_atom_site_label
_atom_site_fract_x
_atom_site_fract_y
_atom_site_fract_z
_atom_site_occupancy
Zr1 0.000 0.241 0.000 1
Zr2 0.230 0.500 0.500 1
Hg1 0.000 0.000 0.500 1
Au1 0.000 0.500 0.000 1
```

***

# 6
Below is a relaxed Zr4Hg2Au crystal, with properties calculated at the PBE level.

- DFT formation energy (meV per atom) = 428
- electronic total energy (eV/atom) = -5.01
- N(E_F) (states/eV/atom) = 0.7744
- V (Å³ per atom) = 26.820
- crystal system = tetragonal

CIF file:
```
data_Zr4Hg2Au
_cell_length_a 5.137
_cell_length_b 5.137
_cell_length_c 14.228
_cell_angle_alpha 90.00
_cell_angle_beta 90.00
_cell_angle_gamma 90.00
_symmetry_space_group_name_H-M 'I 4/m m m'
_symmetry_Int_Tables_number 139
_symmetry_space_group_name_Hall '-I 4 2'
loop_
_atom_site_label
_atom_site_fract_x
_atom_site_fract_y
_atom_site_fract_z
_atom_site_occupancy
Zr1 0.000 0.000 0.190 1
Zr2 0.000 0.500 0.000 1
Hg1 0.000 0.000 0.386 1
Au1 0.000 0.000 0.000 1
```

***

# 7
Below is a relaxed Zr2Hg2Au crystal, with properties calculated at the PBE level.

- polymorph energy (0 for the lowest one) (eV/atom) = 0.0000
- DFT formation energy (meV per atom) = -166
- electronic total energy (eV/atom) = -4.36
- N(E_F) (states/eV/atom) = 0.9087
- V (Å³ per atom) = 20.988
- crystal system = triclinic

CIF file:
```
data_Zr2Hg2Au
_cell_length_a 3.074
_cell_length_b 4.555
_cell_length_c 7.831
_cell_angle_alpha 106.86
_cell_angle_beta 90.08
_cell_angle_gamma 90.11
_symmetry_space_group_name_H-M 'P -1'
_symmetry_Int_Tables_number 2
loop_
_symmetry_equiv_pos_as_xyz
'x,y,z'
'-x,-y,-z'
loop_
_atom_site_label
_atom_site_fract_x
_atom_site_fract_y
_atom_site_fract_z
_atom_site_occupancy
Zr1 0.045 0.398 0.297 1
Hg1 0.458 0.195 0.890 1
Au1 0.500 0.000 0.500 1
```

***

# 8
Below is a relaxed Zr5HgAu crystal, with properties calculated at the PBE level.

- DFT formation energy (meV per atom) = -68
- electronic total energy (eV/atom) = -6.69
- N(E_F) (states/eV/atom) = 1.2895
- V (Å³ per atom) = 22.214
- crystal system = monoclinic

CIF file:
```
data_Zr5HgAu
_cell_length_a 11.068
_cell_length_b 10.429
_cell_length_c 5.675
_cell_angle_alpha 90.00
_cell_angle_beta 108.29
_cell_angle_gamma 90.00
_symmetry_space_group_name_H-M 'C 1 2/c 1'
_symmetry_Int_Tables_number 15
loop_
_symmetry_equiv_pos_as_xyz
'x,y,z'
'-x,-y,-z'
'-x,y,-z+1/2'
'x,-y,z+1/2'
'x+1/2,y+1/2,z'
'-x+1/2,-y+1/2,-z'
'-x+1/2,y+1/2,-z+1/2'
'x+1/2,-y+1/2,z+1/2'
loop_
_atom_site_label
_atom_site_fract_x
_atom_site_fract_y
_atom_site_fract_z
_atom_site_occupancy
Zr1 0.000 0.231 0.250 1
Zr2 0.145 0.307 0.823 1
Zr3 0.244 0.085 0.585 1
Hg1 0.000 0.059 0.750 1
Au1 0.000 0.500 0.000 1
```

***

What is the N(E_F) in the fifth record?
1.2836 states/eV/atom